Entry from Alexandria via LeMat-Bulk: crystalline Si2NiTe at its relaxed geometry (PBE).

Lattice parameters (Å, degrees): 3.197 3.197 7.138 90.00 90.00 93.41
Atoms (fractional coordinates):
Ni 0.500 0.500 0.814
Si 0.500 0.500 0.148
Si 0.000 0.000 0.969
Te 0.000 0.000 0.569

- space group = Cmm2
- raw total energy (eV/atom) = -4.70
- uncorrected formation energy (eV per formula unit) = 1.0
- M_tot (μB per formula unit) = 0.00